Density functional theory data (PBE with a Hubbard U) for an optimized crystal structure of CsCrSbF6.

symmetry = P1, No. 1
total DFT energy (no corrections) = -5.177 eV/atom
DOS(E_F) = 0.000 states/eV per atom
theoretical density = 3.72 g cm⁻³

```
data_CsCrSbF6
_chemical_formula_sum 'Cs1 Cr1 Sb1 F6'
_symmetry_space_group_name_H-M 'P 1'
_symmetry_Int_Tables_number 1
_cell_length_a 5.714
_cell_length_b 5.907
_cell_length_c 6.040
_cell_angle_alpha 90.78
_cell_angle_beta 90.68
_cell_angle_gamma 113.02
loop_
_symmetry_equiv_pos_as_xyz
'x,y,z'
loop_
_atom_site_label
_atom_site_type_symbol
_atom_site_fract_x
_atom_site_fract_y
_atom_site_fract_z
Cs1 Cs 0.000 0.000 0.000
Cr1 Cr 0.320 0.690 0.542
Sb1 Sb 0.689 0.342 0.502
F1 F 0.030 0.735 0.393
F2 F 0.046 0.463 0.742
F3 F 0.358 0.340 0.357
F4 F 0.505 0.117 0.749
F5 F 0.571 0.945 0.349
F6 F 0.607 0.604 0.692
```